First-principles (PBE) data for Tm8Bi2As after structural relaxation, as listed in the Alexandria database.

Output
Calculated total energy in eV per atom: -4.87

Cell: 17.998 4.059 8.766 Å, 90.00 94.86 90.00°
Space group C2/m (No. 12)
Symmetry-distinct sites (fractional):
Tm (0.015, 0.000, 0.227) (multiplicity 4)
Tm (0.091, 0.500, 0.539) (multiplicity 4)
Tm (0.156, 0.500, 0.036) (multiplicity 4)
Tm (0.207, 0.000, 0.363) (multiplicity 4)
Bi (0.177, 0.000, 0.773) (multiplicity 4)
As (0.000, 0.500, 0.000) (multiplicity 2)

First-principles (PBE) data for PrSm4Ag after structural relaxation, as listed in the Alexandria database.

Output
Energy above the lowest structure with this stoichiometry in meV per atom: 0

Cell: 3.666 3.666 14.145 Å, 90.00 90.00 90.00°
Space group P4/mmm (No. 123)
Symmetry-distinct sites (fractional):
Pr (0.000, 0.000, 0.000) (multiplicity 1)
Sm (0.000, 0.000, 0.365) (multiplicity 2)
Sm (0.500, 0.500, 0.183) (multiplicity 2)
Ag (0.500, 0.500, 0.500) (multiplicity 1)

First-principles (PBE) data for AlTl2PbF6 after structural relaxation, as listed in the Alexandria database.

Output
Raw formation energy in meV/atom: -2390

Cell: 5.888 8.572 7.156 Å, 90.00 90.00 90.00°
Space group Pmmn (No. 59, origin choice 2)
Symmetry-distinct sites (fractional):
Al (0.250, 0.250, 0.228) (multiplicity 2)
Tl (0.250, 0.012, 0.786) (multiplicity 4)
Pb (0.250, 0.750, 0.292) (multiplicity 2)
F (0.023, 0.250, 0.403) (multiplicity 4)
F (0.029, 0.250, 0.044) (multiplicity 4)
F (0.250, 0.033, 0.222) (multiplicity 4)

First-principles (PBE) data for CaAgOsPb2 after structural relaxation, as listed in the Alexandria database.

Output
Calculated total energy in eV per atom: -3.67

Cell: 5.404 5.404 5.583 Å, 90.00 90.00 90.00°
Space group P4/mmm (No. 123)
Symmetry-distinct sites (fractional):
Ca (0.000, 0.000, 0.000) (multiplicity 1)
Ag (0.500, 0.500, 0.500) (multiplicity 1)
Os (0.500, 0.500, 0.000) (multiplicity 1)
Pb (0.000, 0.500, 0.500) (multiplicity 2)